Entry from Alexandria via LeMat-Bulk: an optimized crystal structure of KLa2Ru (GGA-PBE).

It has space group Cmmm (No. 65), with a = 5.059 Å, b = 5.107 Å, c = 11.117 Å, α = 90.00°, β = 90.00° and γ = 90.00°. The inequivalent atoms are K at (0.000, 0.000, 0.000), La at (0.000, 0.500, 0.348) and Ru at (0.000, 0.000, 0.500).

For the formation energy from the elements, the calculation gives -3 kJ per mole of atoms. For the energy above the most stable polymorph in this dataset, the calculation gives 110 meV/atom.